No. 1
The following is a DFT calculation (GGA-PBE) of a relaxed Pm2YO4 crystal.

```
Pm2YO4
1.0
3.5224 0.0000 0.0000
0.0000 6.0706 -0.1786
-1.7612 -3.1334 5.3851
Pm O Y
2 4 1
Direct
0.3035 0.3047 0.6070
0.6965 0.6953 0.3930
0.8710 0.1596 0.7420
0.1290 0.8404 0.2580
0.6422 0.2621 0.2843
0.3578 0.7379 0.7157
0.0000 0.0000 0.0000
```

Calculated values
Space-group type: C2/m
Uncorrected formation energy in eV per atom: -3.114
Size of the total moment in μB/f.u.: 0.0

---

No. 2
The following is a DFT calculation (GGA-PBE) of a relaxed PmYO3 crystal.

```
PmYO3
1.0
3.1194 0.0001 0.0000
-0.0002 5.2719 3.0328
0.0000 0.0096 6.0818
O Y Pm
3 1 1
Direct
0.7202 0.7589 0.2324
0.7202 0.2697 0.2325
0.7202 0.2698 0.7216
0.2201 0.4328 0.3955
0.2202 0.0994 0.0622
```

Calculated values
Space-group type: P-6m2
Uncorrected formation energy in eV per atom: -3.271
Size of the total moment in μB/f.u.: 0.0

---

No. 3
The following is a DFT calculation (GGA-PBE) of a relaxed Pm6YO12 crystal.

```
Pm6YO12
1.0
-3.2962 -3.2243 5.0020
-2.0060 -3.7838 -5.2859
6.2297 -2.5737 0.9212
Pm O Y
6 12 1
Direct
0.8627 0.7058 0.3921
0.1373 0.2942 0.6079
0.3921 0.8627 0.7058
0.7058 0.3921 0.8627
0.2942 0.6079 0.1373
0.6079 0.1373 0.2942
0.4196 0.5592 0.8218
0.1782 0.5804 0.4408
0.0624 0.3196 0.9349
0.5804 0.4408 0.1782
0.6804 0.0651 0.9376
0.9349 0.0624 0.3196
0.0651 0.9376 0.6804
0.9376 0.6804 0.0651
0.3196 0.9349 0.0624
0.5592 0.8218 0.4196
0.8218 0.4196 0.5592
0.4408 0.1782 0.5804
0.0000 0.0000 0.0000
```

Calculated values
Space-group type: R-3
Uncorrected formation energy in eV per atom: -3.070
Size of the total moment in μB/f.u.: 3.1

---

No. 4
The following is a DFT calculation (GGA-PBE) of a relaxed PmYO3 crystal.

```
PmYO3
1.0
-2.9876 4.8120 -0.9031
-4.1485 1.5284 3.6540
1.3218 4.9749 3.9214
O Pm Y
6 2 2
Direct
0.4632 0.0473 0.7527
0.5368 0.2632 0.2473
0.7368 0.4632 0.7527
0.9527 0.5368 0.2473
0.0473 0.7368 0.7527
0.2632 0.9527 0.2473
0.1433 0.1433 0.5700
0.8567 0.8567 0.4300
0.3515 0.3515 0.9456
0.6485 0.6485 0.0544
```

Calculated values
Space-group type: R32
Uncorrected formation energy in eV per atom: -3.302
Size of the total moment in μB/f.u.: 0.0

---

No. 5
The following is a DFT calculation (GGA-PBE) of a relaxed PmY2O crystal.

```
PmY2O
1.0
3.4970 0.0000 0.0000
1.7485 3.0285 0.0000
1.7485 1.0095 9.4306
O Pm Y
1 1 2
Direct
0.5000 0.5000 0.5000
0.0000 0.0000 0.0000
0.1201 0.1201 0.6397
0.8799 0.8799 0.3603
```

Calculated values
Space-group type: R-3m
Uncorrected formation energy in eV per atom: -1.214
Offset from the most stable computed form in kJ per mole of atoms: 0.00
Size of the total moment in μB/f.u.: 0.0

---

No. 6
The following is a DFT calculation (GGA-PBE) of a relaxed Pm3ZnO6 crystal.

```
Pm3ZnO6
1.0
-3.2323 2.1476 -4.0478
-2.2882 -6.7844 -1.7724
-4.9534 2.0749 5.0562
Pm Zn O
6 2 12
Direct
0.9751 0.0846 0.3012
0.9751 0.6988 0.9154
0.4751 0.3012 0.0846
0.9263 0.6050 0.3950
0.4263 0.3950 0.6050
0.4751 0.9154 0.6988
0.5017 0.8087 0.1913
0.0017 0.1913 0.8087
0.1595 0.0334 0.9666
0.6611 0.2165 0.7835
0.1913 0.1043 0.5774
0.7020 0.3263 0.3551
0.6913 0.5774 0.1043
0.6595 0.9666 0.0334
0.6913 0.8957 0.4226
0.2020 0.6737 0.6449
0.1913 0.4226 0.8957
0.2020 0.3551 0.3263
0.7020 0.6449 0.6737
0.1611 0.7835 0.2165
```

Calculated values
Space-group type: Cmc2_1
Uncorrected formation energy in eV per atom: -2.778
Size of the total moment in μB/f.u.: 1.0

---

No. 7
The following is a DFT calculation (GGA-PBE) of a relaxed Pm2ZnO crystal.

```
Pm2ZnO
1.0
-2.6259 -2.3337 -1.2417
0.7988 -2.4332 -2.7064
1.3242 -6.3413 3.5272
Zn Pm O
1 2 1
Direct
0.0000 0.0000 0.0000
0.7684 0.7684 0.6947
0.2316 0.2316 0.3053
0.5000 0.5000 0.5000
```

Calculated values
Space-group type: R-3m
Uncorrected formation energy in eV per atom: -1.395
Size of the total moment in μB/f.u.: 0.0

---

No. 8
The following is a DFT calculation (GGA-PBE) of a relaxed Pm12Zn3O5 crystal.

```
Pm12Zn3O5
1.0
13.6794 0.0000 0.0000
-4.5598 12.8970 0.0000
-4.5598 -6.4485 11.1692
Pm O Zn
48 20 12
Direct
0.0153 0.6111 0.7014
0.8889 0.5903 0.9042
0.1861 0.0958 0.9847
0.5958 0.9847 0.6861
0.3889 0.4042 0.0903
0.5903 0.7014 0.6861
0.3139 0.5153 0.4042
0.5153 0.2014 0.1111
0.6111 0.0153 0.2014
0.4097 0.2986 0.3139
0.4097 0.1111 0.5958
0.2986 0.8889 0.9847
0.6111 0.5958 0.9097
0.8889 0.2986 0.4847
0.3889 0.9847 0.7986
0.6861 0.4847 0.5958
0.0153 0.4042 0.8139
0.9097 0.0958 0.6111
0.6861 0.2014 0.5903
0.8139 0.9097 0.2986
0.9097 0.8139 0.7986
0.9042 0.0903 0.8889
0.5153 0.3139 0.9042
0.3139 0.7986 0.4097
0.1861 0.0903 0.7014
0.2014 0.6861 0.0903
0.2986 0.4097 0.8139
0.8139 0.9042 0.0153
0.9847 0.5958 0.1861
0.9847 0.3889 0.2986
0.4847 0.7986 0.8889
0.4042 0.0153 0.3139
0.7014 0.5903 0.1861
0.9042 0.8139 0.5153
0.4042 0.3889 0.5903
0.5958 0.6111 0.4097
0.2014 0.5153 0.6111
0.0958 0.9097 0.1111
0.0903 0.9042 0.3889
0.1111 0.4097 0.0958
0.1111 0.7014 0.5153
0.4847 0.6861 0.0958
0.7014 0.1111 0.0153
0.7986 0.4847 0.3889
0.7986 0.3139 0.9097
0.5903 0.8889 0.4042
0.0903 0.1861 0.2014
0.0958 0.1861 0.4847
0.7500 0.6250 0.3750
0.6250 0.7500 0.8750
0.0000 0.5000 0.5000
0.6250 0.8750 0.2500
0.0000 0.5000 0.0000
0.5000 0.5000 0.0000
0.8750 0.6250 0.7500
0.5000 0.0000 0.0000
0.0000 0.0000 0.5000
0.3750 0.1250 0.7500
0.2500 0.3750 0.6250
0.5000 0.0000 0.5000
0.5000 0.5000 0.5000
0.0000 0.0000 0.0000
0.7500 0.1250 0.8750
0.8750 0.2500 0.6250
0.1250 0.3750 0.2500
0.2500 0.8750 0.1250
0.1250 0.7500 0.3750
0.3750 0.2500 0.1250
0.6250 0.2500 0.3750
0.2500 0.6250 0.8750
0.6250 0.3750 0.7500
0.8750 0.7500 0.1250
0.3750 0.7500 0.6250
0.2500 0.1250 0.3750
0.8750 0.1250 0.2500
0.1250 0.8750 0.7500
0.7500 0.3750 0.1250
0.1250 0.2500 0.8750
0.7500 0.8750 0.6250
0.3750 0.6250 0.2500
```

Calculated values
Space-group type: Ia-3d
Uncorrected formation energy in eV per atom: -1.437
Size of the total moment in μB/f.u.: 0.0

---

No. 9
The following is a DFT calculation (GGA-PBE) of a relaxed Pm5Zr2O12 crystal.

```
Pm5Zr2O12
1.0
6.2536 0.0000 0.0000
-3.1268 6.1435 -1.8987
0.0000 -0.0064 7.5635
O Pm Zr
12 5 2
Direct
0.9054 0.3077 0.5721
0.5020 0.0041 0.8110
0.0020 0.0041 0.8125
0.9980 0.9959 0.1875
0.1015 0.6605 0.9102
0.4410 0.3395 0.0898
0.0946 0.6923 0.4279
0.5977 0.6923 0.4279
0.8985 0.3395 0.0898
0.4980 0.9959 0.1890
0.5590 0.6605 0.9102
0.4023 0.3077 0.5721
0.6962 0.3924 0.8382
0.3038 0.6076 0.1618
0.0000 0.0000 0.5000
0.3019 0.6038 0.6403
0.6981 0.3962 0.3597
0.7559 0.0000 0.0000
0.2441 0.0000 0.0000
```

Calculated values
Space-group type: C2/m
Uncorrected formation energy in eV per atom: -3.274
Size of the total moment in μB/f.u.: 1.1

---

No. 10
The following is a DFT calculation (GGA-PBE) of a relaxed Pm3ZrO6 crystal.

```
Pm3ZrO6
1.0
5.8180 0.0000 0.0482
0.0000 6.1355 0.0000
0.1402 0.0000 8.4234
O Pm Zr
12 6 2
Direct
0.6783 0.1622 0.9617
0.8217 0.6622 0.5383
0.3301 0.7902 0.4129
0.1264 0.0836 0.7624
0.3736 0.5836 0.7376
0.3217 0.8378 0.0383
0.1699 0.2902 0.0871
0.8301 0.7098 0.9129
0.1783 0.3378 0.4617
0.8736 0.9164 0.2376
0.6699 0.2098 0.5871
0.6264 0.4164 0.2624
0.4999 0.9486 0.7728
0.0000 0.0000 0.5000
0.0001 0.4486 0.7272
0.5001 0.0514 0.2272
0.5000 0.5000 0.0000
0.9999 0.5514 0.2728
0.5000 0.5000 0.5000
0.0000 0.0000 0.0000
```

Calculated values
Space-group type: P2_1/c
Uncorrected formation energy in eV per atom: -3.181
Offset from the most stable computed form in kJ per mole of atoms: 8.96
Size of the total moment in μB/f.u.: 0.0

---

No. 11
The following is a DFT calculation (GGA-PBE) of a relaxed Pm3ZrO6 crystal.

```
Pm3ZrO6
1.0
-1.5008 4.5886 -4.8463
-5.9236 -3.2639 -1.0257
-2.8182 3.9381 4.8315
O Pm Zr
12 6 2
Direct
0.2030 0.4186 0.5417
0.3071 0.0536 0.8897
0.6929 0.9464 0.1103
0.4186 0.5417 0.2030
0.1103 0.6929 0.9464
0.8897 0.3071 0.0536
0.9464 0.1103 0.6929
0.7970 0.5814 0.4583
0.5417 0.2030 0.4186
0.0536 0.8897 0.3071
0.5814 0.4583 0.7970
0.4583 0.7970 0.5814
0.4616 0.7531 0.9364
0.0636 0.5384 0.2469
0.9364 0.4616 0.7531
0.7531 0.9364 0.4616
0.2469 0.0636 0.5384
0.5384 0.2469 0.0636
0.5000 0.5000 0.5000
0.0000 0.0000 0.0000
```

Calculated values
Space-group type: R-3
Uncorrected formation energy in eV per atom: -3.274
Offset from the most stable computed form in kJ per mole of atoms: 0.00
Size of the total moment in μB/f.u.: 0.0

---

No. 12
The following is a DFT calculation (GGA-PBE) of a relaxed Pm2ZrO crystal.

```
Pm2ZrO
1.0
-1.1107 2.7782 1.7874
-1.3058 -0.3990 3.2066
7.4644 1.8484 5.1635
Pm O Zr
2 1 1
Direct
0.1144 0.1144 0.6568
0.8856 0.8856 0.3432
0.5000 0.5000 0.5000
0.0000 0.0000 0.0000
```

Calculated values
Space-group type: R-3m
Uncorrected formation energy in eV per atom: -0.971
Size of the total moment in μB/f.u.: 1.1

---

No. 13
The following is a DFT calculation (GGA-PBE) of a relaxed Pm3ZrO7 crystal.

```
Pm3ZrO7
1.0
6.7092 -0.0119 0.0000
-2.3348 6.2898 0.0000
0.0000 0.0000 7.7675
Zr O Pm
2 14 6
Direct
0.0001 0.0001 0.5000
0.9999 0.9999 0.0000
0.9156 0.6672 0.4645
0.0844 0.3328 0.9645
0.0792 0.9208 0.7500
0.6672 0.9156 0.5355
0.6324 0.3676 0.2500
0.0885 0.3351 0.5304
0.6293 0.3707 0.7500
0.6649 0.9115 0.9696
0.3676 0.6324 0.7500
0.9115 0.6649 0.0304
0.9208 0.0792 0.2500
0.3707 0.6293 0.2500
0.3351 0.0885 0.4696
0.3328 0.0844 0.0355
0.5092 0.5092 0.0000
0.0053 0.4636 0.2474
0.9947 0.5364 0.7474
0.4908 0.4908 0.5000
0.5364 0.9947 0.2526
0.4636 0.0053 0.7526
```

Calculated values
Space-group type: C222_1
Uncorrected formation energy in eV per atom: -3.205
Size of the total moment in μB/f.u.: 1.1

---

No. 14
The following is a DFT calculation (GGA-PBE) of a relaxed Pm4Zr6O19 crystal.

```
Pm4Zr6O19
1.0
-6.8437 -4.2212 1.9321
5.1979 -4.9220 -4.1404
3.6490 2.6559 6.9295
O Pm Zr
19 4 6
Direct
0.6452 0.6452 0.0000
0.3548 0.3548 0.0000
0.0315 0.2698 0.6702
0.0000 0.3548 0.3548
0.6702 0.0315 0.2698
0.2383 0.9685 0.6387
0.0000 0.0000 0.0000
0.6387 0.2383 0.9685
0.3613 0.3298 0.5996
0.3298 0.5996 0.3613
0.7302 0.7617 0.4004
0.3548 0.0000 0.3548
0.9685 0.6387 0.2383
0.4004 0.7302 0.7617
0.7617 0.4004 0.7302
0.2698 0.6702 0.0315
0.0000 0.6452 0.6452
0.5996 0.3613 0.3298
0.6452 0.0000 0.6452
0.7081 0.0000 0.0000
0.2919 0.2919 0.2919
0.0000 0.0000 0.7081
0.0000 0.7081 0.0000
0.5000 0.1695 0.6695
0.8305 0.3305 0.5000
0.1695 0.6695 0.5000
0.6695 0.5000 0.1695
0.5000 0.8305 0.3305
0.3305 0.5000 0.8305
```

Calculated values
Space-group type: I23
Uncorrected formation energy in eV per atom: -3.090
Size of the total moment in μB/f.u.: 2.3

---

No. 15
The following is a DFT calculation (GGA-PBE) of a relaxed PmZrO4 crystal.

```
PmZrO4
1.0
-1.0318 3.4227 -1.1059
-3.5510 -1.1526 -0.2541
-0.8478 1.4487 5.2746
Zr O Pm
1 4 1
Direct
0.0013 0.9973 0.4981
0.5013 0.9973 0.7262
0.0013 0.4973 0.7262
0.5013 0.9972 0.2701
0.0013 0.4972 0.2701
0.5013 0.4973 0.9981
```

Calculated values
Space-group type: P4/mmm
Uncorrected formation energy in eV per atom: -2.929
Size of the total moment in μB/f.u.: 1.0

---

No. 16
The following is a DFT calculation (GGA-PBE) of a relaxed Pr4O crystal.

```
Pr4O
1.0
5.1737 0.0000 0.0000
0.0000 5.1737 0.0000
0.0000 0.0000 5.1737
Pr O
4 1
Direct
0.0000 0.5000 0.5000
0.5000 0.5000 0.0000
0.0000 0.0000 0.0000
0.5000 0.0000 0.5000
0.5000 0.5000 0.5000
```

Calculated values
Space-group type: Pm-3m
Uncorrected formation energy in eV per atom: -1.069
Offset from the most stable computed form in kJ per mole of atoms: 0.00
Size of the total moment in μB/f.u.: 0.0

---

No. 17
The following is a DFT calculation (GGA-PBE) of a relaxed Pr3O crystal.

```
Pr3O
1.0
3.3535 0.0000 0.0000
0.0000 6.2482 0.0000
-1.6768 -3.1241 5.2105
Pr O
3 1
Direct
0.5000 0.3591 0.0000
0.6626 0.0360 0.3252
0.3374 0.7108 0.6748
0.0000 0.0608 0.0000
```

Calculated values
Space-group type: Imm2
Uncorrected formation energy in eV per atom: -1.006
Offset from the most stable computed form in kJ per mole of atoms: 5.29
Size of the total moment in μB/f.u.: 0.0

---

No. 18
The following is a DFT calculation (GGA-PBE) of a relaxed Pr2O crystal.

```
Pr2O
1.0
-1.1510 -1.7299 2.9796
3.3002 -1.4560 0.4296
1.4034 4.0318 2.8829
O Pr
1 2
Direct
0.5000 0.5000 0.0000
0.0000 0.0000 0.0000
0.5000 0.5000 0.5000
```

Calculated values
Space-group type: P4/mmm
Uncorrected formation energy in eV per atom: -1.776
Offset from the most stable computed form in kJ per mole of atoms: 0.00
Size of the total moment in μB/f.u.: 0.0